Material: SrNi3Sn
Method: DFT, PBE-GGA
State: optimized geometry

Cell lengths 4.792, 4.792, 4.792 Å; angles 90.00, 90.00, 90.00 degrees
Element x y z (fractional)
Sr  0.000  0.000  0.000
Ni  0.000  0.000  0.500
Ni  0.000  0.500  0.000
Ni  0.500  0.000  0.000
Sn  0.500  0.500  0.500

Summary:
Its energy above the most stable polymorph in this dataset is 1.1258 eV per atom. The spin magnetization comes out at 0.00 μB/f.u. The space group is No. 221. The formation energy comes out at 1448 meV/atom.



Material: Sr3Ni2Sn4
Method: DFT, PBE-GGA
State: optimized geometry

Cell lengths 6.614, 6.614, 9.338 Å; angles 98.21, 98.21, 39.73 degrees
Element x y z (fractional)
Sr  0.000  0.000  0.000
Sr  0.338  0.338  0.346
Sr  0.662  0.662  0.654
Ni  0.392  0.392  0.717
Ni  0.608  0.608  0.283
Sn  0.060  0.060  0.374
Sn  0.281  0.281  0.918
Sn  0.719  0.719  0.082
Sn  0.940  0.940  0.626

Summary:
Its energy above the most stable polymorph in this dataset is 0.0451 eV per atom. The spin magnetization comes out at 0.00 μB/f.u. The space group is No. 12. The formation energy comes out at -453 meV/atom.



Material: Sr2Ni3Sn5
Method: DFT, PBE-GGA
State: optimized geometry

Cell lengths 13.657, 13.657, 7.358 Å; angles 90.00, 90.00, 161.13 degrees
Element x y z (fractional)
Sr  0.025  0.975  0.500
Sr  0.326  0.674  0.512
Sr  0.674  0.326  0.012
Sr  0.975  0.025  0.000
Ni  0.109  0.891  0.237
Ni  0.278  0.722  0.020
Ni  0.447  0.553  0.291
Ni  0.553  0.447  0.791
Ni  0.722  0.278  0.520
Ni  0.891  0.109  0.737
Sn  0.094  0.906  0.879
Sn  0.204  0.796  0.318
Sn  0.212  0.788  0.726
Sn  0.377  0.623  0.001
Sn  0.448  0.552  0.665
Sn  0.552  0.448  0.165
Sn  0.623  0.377  0.501
Sn  0.788  0.212  0.226
Sn  0.796  0.204  0.818
Sn  0.906  0.094  0.379

Summary:
Its energy above the most stable polymorph in this dataset is 0.0461 eV per atom. The spin magnetization comes out at 0.00 μB/f.u. The space group is No. 36. The formation energy comes out at -374 meV/atom.



Material: SrNiSn3
Method: DFT, PBE-GGA
State: optimized geometry

Cell lengths 6.729, 6.104, 6.187 Å; angles 90.00, 90.00, 90.00 degrees
Element x y z (fractional)
Sr  0.000  0.146  0.000
Sr  0.500  0.854  0.500
Ni  0.000  0.597  0.250
Ni  0.500  0.403  0.750
Sn  0.000  0.885  0.539
Sn  0.243  0.339  0.452
Sn  0.257  0.661  0.952
Sn  0.500  0.115  0.039
Sn  0.743  0.661  0.952
Sn  0.757  0.339  0.452

Summary:
The spin magnetization comes out at 0.00 μB/f.u. The space group is No. 31. The formation energy comes out at -402 meV/atom.



Material: Sr2NiSn
Method: DFT, PBE-GGA
State: optimized geometry

Cell lengths 8.650, 8.650, 6.436 Å; angles 90.00, 90.00, 90.00 degrees
Element x y z (fractional)
Sr  0.190  0.250  0.125
Sr  0.250  0.690  0.375
Sr  0.250  0.810  0.875
Sr  0.310  0.250  0.625
Sr  0.690  0.750  0.625
Sr  0.750  0.190  0.875
Sr  0.750  0.310  0.375
Sr  0.810  0.750  0.125
Ni  0.000  0.000  0.000
Ni  0.000  0.500  0.250
Ni  0.500  0.000  0.750
Ni  0.500  0.500  0.500
Sn  0.000  0.000  0.500
Sn  0.000  0.500  0.750
Sn  0.500  0.000  0.250
Sn  0.500  0.500  0.000

Summary:
The spin magnetization comes out at 0.00 μB/f.u. The space group is No. 122. The formation energy comes out at 60 meV/atom.



Material: SrNi3Sn
Method: DFT, PBE-GGA
State: optimized geometry

Cell lengths 4.792, 4.792, 4.792 Å; angles 90.00, 90.00, 90.00 degrees
Element x y z (fractional)
Sr  0.000  0.000  0.000
Ni  0.000  0.500  0.500
Ni  0.500  0.000  0.500
Ni  0.500  0.500  0.000
Sn  0.500  0.500  0.500

Summary:
Its energy above the most stable polymorph in this dataset is 0.0000 eV per atom. The spin magnetization comes out at 0.00 μB/f.u. The space group is No. 221. The formation energy comes out at 322 meV/atom.



Material: Sr2NiSn5
Method: DFT, PBE-GGA
State: optimized geometry

Cell lengths 6.652, 6.652, 10.784 Å; angles 90.00, 90.00, 90.00 degrees
Element x y z (fractional)
Sr  0.000  0.500  0.000
Sr  0.000  0.500  0.500
Sr  0.500  0.000  0.000
Sr  0.500  0.000  0.500
Ni  0.000  0.000  0.314
Ni  0.500  0.500  0.814
Sn  0.000  0.000  0.548
Sn  0.233  0.233  0.756
Sn  0.233  0.767  0.756
Sn  0.267  0.267  0.256
Sn  0.267  0.733  0.256
Sn  0.500  0.500  0.048
Sn  0.733  0.267  0.256
Sn  0.733  0.733  0.256
Sn  0.767  0.233  0.756
Sn  0.767  0.767  0.756

Summary:
The spin magnetization comes out at 0.00 μB/f.u. The space group is No. 107. The formation energy comes out at -341 meV/atom.



Material: Sr3NiSn
Method: DFT, PBE-GGA
State: optimized geometry

Cell lengths 5.618, 5.618, 5.618 Å; angles 90.00, 90.00, 90.00 degrees
Element x y z (fractional)
Sr  0.000  0.000  0.500
Sr  0.000  0.500  0.000
Sr  0.500  0.000  0.000
Ni  0.000  0.000  0.000
Sn  0.500  0.500  0.500

Summary:
Its energy above the most stable polymorph in this dataset is 0.0000 eV per atom. The spin magnetization comes out at 0.00 μB/f.u. The space group is No. 221. The formation energy comes out at -159 meV/atom.



Material: Sr2Ni2Sn3
Method: DFT, PBE-GGA
State: optimized geometry

Cell lengths 10.107, 10.107, 7.385 Å; angles 90.00, 90.00, 152.83 degrees
Element x y z (fractional)
Sr  0.051  0.949  0.750
Sr  0.163  0.837  0.250
Sr  0.837  0.163  0.750
Sr  0.949  0.051  0.250
Ni  0.303  0.697  0.072
Ni  0.303  0.697  0.428
Ni  0.697  0.303  0.572
Ni  0.697  0.303  0.928
Sn  0.225  0.775  0.750
Sn  0.429  0.571  0.557
Sn  0.429  0.571  0.943
Sn  0.571  0.429  0.057
Sn  0.571  0.429  0.443
Sn  0.775  0.225  0.250

Summary:
The spin magnetization comes out at 0.00 μB/f.u. The space group is No. 63. The formation energy comes out at -339 meV/atom.



Material: SrNiSn3
Method: DFT, PBE-GGA
State: optimized geometry

Cell lengths 5.132, 5.132, 5.132 Å; angles 90.00, 90.00, 90.00 degrees
Element x y z (fractional)
Sr  0.000  0.000  0.000
Ni  0.500  0.500  0.500
Sn  0.000  0.500  0.500
Sn  0.500  0.000  0.500
Sn  0.500  0.500  0.000

Summary:
The spin magnetization comes out at 0.00 μB/f.u. The space group is No. 221. The formation energy comes out at -204 meV/atom.



Material: SrNi4Sn12
Method: DFT, PBE-GGA
State: optimized geometry

Cell lengths 8.052, 8.052, 8.052 Å; angles 109.47, 109.47, 109.47 degrees
Element x y z (fractional)
Sr  0.000  0.000  0.000
Ni  0.000  0.000  0.500
Ni  0.000  0.500  0.000
Ni  0.500  0.000  0.000
Ni  0.500  0.500  0.500
Sn  0.169  0.338  0.831
Sn  0.169  0.506  0.338
Sn  0.169  0.831  0.662
Sn  0.338  0.169  0.506
Sn  0.338  0.831  0.169
Sn  0.494  0.662  0.831
Sn  0.506  0.338  0.169
Sn  0.662  0.169  0.831
Sn  0.662  0.831  0.494
Sn  0.831  0.169  0.338
Sn  0.831  0.494  0.662
Sn  0.831  0.662  0.169

Summary:
The spin magnetization comes out at 0.00 μB/f.u. The space group is No. 204. The formation energy comes out at -207 meV/atom.



Material: Sr2NiSn6
Method: DFT, PBE-GGA
State: optimized geometry

Cell lengths 6.856, 6.856, 5.982 Å; angles 90.00, 90.00, 120.00 degrees
Element x y z (fractional)
Sr  0.333  0.667  0.181
Sr  0.667  0.333  0.819
Ni  0.000  0.000  0.000
Sn  0.166  0.331  0.702
Sn  0.166  0.834  0.702
Sn  0.331  0.166  0.298
Sn  0.669  0.834  0.702
Sn  0.834  0.166  0.298
Sn  0.834  0.669  0.298

Summary:
Its energy above the most stable polymorph in this dataset is 0.0000 eV per atom. The spin magnetization comes out at 0.00 μB/f.u. The space group is No. 164. The formation energy comes out at -396 meV/atom.